[1]
A plane-wave DFT calculation with PBE-GGA was carried out for HgSbSe after structural relaxation.

Results
* uncorrected energy: -2.54 eV/atom
* uncorrected formation energy: 0.286 eV/f.u.
* D(E_F): 0.51 states/eV per atom
* calculated density: 7.10 Mg/m³
* space-group type: No. 42

a b c (Å): 8.449 8.003 3.757
angles (deg): 83.54 70.24 26.22
Sites, in units of the cell vectors:
Sb 0.309 0.309 0.691
Hg 0.003 0.003 0.997
Se 0.688 0.688 0.312



[2]
A plane-wave DFT calculation with PBE-GGA was carried out for Hg12Sb3Se5 after structural relaxation.

Results
* uncorrected energy: -1.61 eV/atom
* uncorrected formation energy: 1.185 eV/f.u.
* D(E_F): 0.63 states/eV per atom
* calculated density: 8.69 Mg/m³
* space-group type: No. 230

a b c (Å): 14.649 14.649 14.649
angles (deg): 109.47 109.47 109.47
Sites, in units of the cell vectors:
Hg 0.596 0.866 0.423
Hg 0.231 0.673 0.096
Hg 0.943 0.577 0.173
Hg 0.904 0.827 0.769
Hg 0.577 0.634 0.404
Hg 0.634 0.577 0.904
Hg 0.827 0.923 0.057
Hg 0.904 0.077 0.634
Hg 0.866 0.596 0.923
Hg 0.827 0.904 0.269
Hg 0.634 0.057 0.231
Hg 0.327 0.557 0.423
Hg 0.269 0.866 0.943
Hg 0.057 0.634 0.731
Hg 0.557 0.327 0.923
Hg 0.404 0.134 0.577
Hg 0.557 0.231 0.134
Hg 0.769 0.327 0.904
Hg 0.443 0.673 0.077
Hg 0.673 0.231 0.596
Hg 0.134 0.731 0.557
Hg 0.423 0.057 0.327
Hg 0.596 0.731 0.673
Hg 0.231 0.557 0.634
Hg 0.173 0.096 0.731
Hg 0.366 0.943 0.769
Hg 0.923 0.096 0.866
Hg 0.077 0.904 0.134
Hg 0.366 0.423 0.096
Hg 0.731 0.134 0.057
Hg 0.443 0.769 0.866
Hg 0.173 0.077 0.943
Hg 0.943 0.366 0.269
Hg 0.731 0.596 0.173
Hg 0.096 0.173 0.231
Hg 0.269 0.404 0.827
Hg 0.057 0.423 0.827
Hg 0.096 0.923 0.366
Hg 0.077 0.173 0.443
Hg 0.673 0.443 0.577
Hg 0.923 0.827 0.557
Hg 0.423 0.366 0.596
Hg 0.404 0.269 0.327
Hg 0.327 0.769 0.404
Hg 0.134 0.404 0.077
Hg 0.769 0.443 0.366
Hg 0.866 0.269 0.443
Hg 0.577 0.943 0.673
Se 0.375 0.250 0.125
Se 0.875 0.250 0.625
Se 0.250 0.875 0.125
Se 0.000 0.000 0.500
Se 0.500 0.000 0.000
Se 0.625 0.875 0.250
Se 0.875 0.625 0.750
Se 0.500 0.500 0.500
Se 0.125 0.750 0.375
Se 0.750 0.125 0.875
Se 0.500 0.500 0.000
Se 0.000 0.500 0.500
Se 0.000 0.000 0.000
Se 0.750 0.625 0.375
Se 0.125 0.375 0.250
Se 0.500 0.000 0.500
Se 0.625 0.750 0.875
Se 0.000 0.500 0.000
Se 0.375 0.125 0.750
Se 0.250 0.375 0.625
Sb 0.125 0.250 0.875
Sb 0.625 0.375 0.750
Sb 0.375 0.750 0.625
Sb 0.250 0.125 0.375
Sb 0.875 0.750 0.125
Sb 0.875 0.125 0.250
Sb 0.375 0.625 0.250
Sb 0.125 0.875 0.750
Sb 0.750 0.375 0.125
Sb 0.750 0.875 0.625
Sb 0.250 0.625 0.875
Sb 0.625 0.250 0.375



[3]
A plane-wave DFT calculation with PBE-GGA was carried out for HgSbSe3 after structural relaxation.

Results
* uncorrected energy: -2.60 eV/atom
* uncorrected formation energy: 1.857 eV/f.u.
* D(E_F): 0.67 states/eV per atom
* calculated density: 6.10 Mg/m³
* space-group type: No. 221

a b c (Å): 5.340 5.340 5.340
angles (deg): 90.00 90.00 90.00
Sites, in units of the cell vectors:
Sb 0.000 0.000 0.000
Se 0.500 0.000 0.000
Se 0.000 0.000 0.500
Se 0.000 0.500 0.000
Hg 0.500 0.500 0.500



[4]
A plane-wave DFT calculation with PBE-GGA was carried out for HgSb4Se after structural relaxation.

Results
* uncorrected energy: -3.03 eV/atom
* uncorrected formation energy: 2.093 eV/f.u.
* D(E_F): 0.81 states/eV per atom
* calculated density: 7.46 Mg/m³
* space-group type: No. 216

a b c (Å): 6.226 6.226 6.226
angles (deg): 60.00 60.00 60.00
Sites, in units of the cell vectors:
Se 0.750 0.750 0.750
Sb 0.378 0.378 0.866
Sb 0.866 0.378 0.378
Sb 0.378 0.866 0.378
Sb 0.378 0.378 0.378
Hg 0.000 0.000 0.000



[5]
A plane-wave DFT calculation with PBE-GGA was carried out for Sm4HgSbSe2 after structural relaxation.

Results
* uncorrected energy: -5.08 eV/atom
* uncorrected formation energy: -10.353 eV/f.u.
* D(E_F): 0.64 states/eV per atom
* calculated density: 7.96 Mg/m³
* space-group type: No. 10

a b c (Å): 4.248 7.676 7.305
angles (deg): 71.40 90.00 90.00
Sites, in units of the cell vectors:
Se 0.000 0.000 0.000
Se 0.500 0.000 0.500
Sm 0.500 0.767 0.244
Sm 0.000 0.236 0.253
Sm 0.000 0.764 0.747
Sm 0.500 0.233 0.756
Sb 0.500 0.500 0.000
Hg 0.000 0.500 0.500



[6]
A plane-wave DFT calculation with PBE-GGA was carried out for Sr2HgSbSe5 after structural relaxation.

Results
* uncorrected energy: -3.78 eV/atom
* uncorrected formation energy: -8.842 eV/f.u.
* D(E_F): 0.35 states/eV per atom
* calculated density: 5.81 Mg/m³
* space-group type: No. 36

a b c (Å): 4.231 9.728 12.693
angles (deg): 90.00 90.00 102.56
Sites, in units of the cell vectors:
Se 0.498 0.996 0.763
Se 0.269 0.539 0.673
Se 0.633 0.265 0.500
Se 0.502 0.004 0.263
Se 0.927 0.854 0.567
Se 0.073 0.146 0.067
Se 0.367 0.735 0.000
Se 0.731 0.461 0.173
Se 0.286 0.573 0.362
Se 0.714 0.427 0.862
Hg 0.546 0.092 0.951
Hg 0.454 0.908 0.451
Sb 0.224 0.447 0.017
Sb 0.776 0.553 0.517
Sr 0.104 0.209 0.680
Sr 0.122 0.245 0.311
Sr 0.896 0.791 0.180
Sr 0.878 0.755 0.811